Ba4Sn2Rh2N: relaxed, PBE.

Formation energy from raw total energies   -0.371 eV per atom

a b c (Å): 6.1240 7.1160 7.1160
angles (deg): 66.39 76.69 76.69
Sites, in units of the cell vectors:
Ba: 0.2955 0.6415 0.1535
Rh: 0.2370 0.1326 0.1326
Sn: 0.1367 0.6841 0.6841
Sn: 0.8633 0.3159 0.3159
Ba: 0.7045 0.8465 0.3585
Rh: 0.7630 0.8674 0.8674
N: 0.5000 0.0000 0.0000
Ba: 0.2955 0.1535 0.6415
Ba: 0.7045 0.3585 0.8465